1.
An optimized crystal structure of TlSnOF2. Source: Alexandria, functional PBE-GGA.

energy relative to the elements, uncorrected: -1071 meV/atom

a = 4.633 Å, b = 4.633 Å, c = 4.337 Å
α = 90.00°, β = 90.00°, γ = 90.00°
Atoms (fractional coordinates):
Tl: 0.000 0.000 0.000
Sn: 0.500 0.500 0.500
O: 0.000 0.000 0.500
F: 0.000 0.500 0.000
F: 0.500 0.000 0.000

---

2.
An optimized crystal structure of CaCoRe2. Source: Alexandria, functional PBE-GGA.

DFT formation energy: 0.342 eV/atom

a = 5.862 Å, b = 5.862 Å, c = 5.862 Å
α = 153.36°, β = 134.23°, γ = 53.75°
Atoms (fractional coordinates):
Ca: 0.000 0.000 0.000
Co: 0.500 0.500 0.000
Re: 0.290 0.790 0.500
Re: 0.710 0.210 0.500

---

Number 1: total moment 0.0 μB per formula unit. Number 2: total moment 0.4 μB per formula unit.